(i)
# Pm2Y GGA-PBE optimized geometry
data_Pm2Y
_space_group_name_H-M_alt 'I 41/a m d'
_space_group_IT_number 141
_cell_length_a 3.510
_cell_length_b 3.510
_cell_length_c 33.496
_cell_angle_alpha 90.00
_cell_angle_beta 90.00
_cell_angle_gamma 90.00
loop_
_space_group_symop_operation_xyz
'x,y,z'
'-x,-y,-z'
'-y+1/4,x+3/4,z+1/4'
'y+1/4,-x+3/4,-z+1/4'
'-x+1/2,-y,z+1/2'
'x+1/2,y,-z+1/2'
'y+1/4,-x+1/4,z+3/4'
'-y+1/4,x+1/4,-z+3/4'
'x,-y,-z'
'-x,y,z'
'-y+1/4,-x+1/4,-z+3/4'
'y+1/4,x+1/4,z+3/4'
'-x+1/2,y,-z+1/2'
'x+1/2,-y,z+1/2'
'y+1/4,x+3/4,-z+1/4'
'-y+1/4,-x+3/4,z+1/4'
'x+1/2,y+1/2,z+1/2'
'-x+1/2,-y+1/2,-z+1/2'
'-y+3/4,x+1/4,z+3/4'
'y+3/4,-x+1/4,-z+3/4'
'-x,-y+1/2,z'
'x,y+1/2,-z'
'y+3/4,-x+3/4,z+1/4'
'-y+3/4,x+3/4,-z+1/4'
'x+1/2,-y+1/2,-z+1/2'
'-x+1/2,y+1/2,z+1/2'
'-y+3/4,-x+3/4,-z+1/4'
'y+3/4,x+3/4,z+1/4'
'-x,y+1/2,-z'
'x,-y+1/2,z'
'y+3/4,x+1/4,-z+3/4'
'-y+3/4,-x+1/4,z+3/4'
loop_
_atom_site_label
_atom_site_fract_x
_atom_site_fract_y
_atom_site_fract_z
Pm1 0.000 0.250 0.297
Y1 0.000 0.250 0.875
# - M_tot: 0.00 μB per formula unit

***

(ii)
# Pm2Y GGA-PBE optimized geometry
data_Pm2Y
_space_group_name_H-M_alt 'F m m m'
_space_group_IT_number 69
_space_group_name_Hall '-F 2 2'
_cell_length_a 6.009
_cell_length_b 6.016
_cell_length_c 11.216
_cell_angle_alpha 90.00
_cell_angle_beta 90.00
_cell_angle_gamma 90.00
loop_
_atom_site_label
_atom_site_fract_x
_atom_site_fract_y
_atom_site_fract_z
Pm1 0.000 0.000 0.163
Y1 0.000 0.000 0.500
# - M_tot: 0.00 μB per formula unit

***

(iii)
# Pm2Y GGA-PBE optimized geometry
data_Pm2Y
_space_group_name_H-M_alt 'C 1 2/m 1'
_space_group_IT_number 12
_cell_length_a 18.834
_cell_length_b 3.628
_cell_length_c 6.262
_cell_angle_alpha 90.00
_cell_angle_beta 109.20
_cell_angle_gamma 90.00
loop_
_space_group_symop_operation_xyz
'x,y,z'
'-x,-y,-z'
'-x,y,-z'
'x,-y,z'
'x+1/2,y+1/2,z'
'-x+1/2,-y+1/2,-z'
'-x+1/2,y+1/2,-z'
'x+1/2,-y+1/2,z'
loop_
_atom_site_label
_atom_site_fract_x
_atom_site_fract_y
_atom_site_fract_z
Pm1 0.083 0.000 0.249
Pm2 0.249 0.000 0.748
Y1 0.083 0.500 0.749
# - M_tot: 0.00 μB per formula unit

***

We find (iii) to be the most stable, with the next structure 92 meV per atom higher.

***

(i)
# PmY7 GGA-PBE optimized geometry
data_PmY7
_space_group_name_H-M_alt 'F m -3 m'
_space_group_IT_number 225
_space_group_name_Hall '-F 4 2 3'
_cell_length_a 10.118
_cell_length_b 10.118
_cell_length_c 10.118
_cell_angle_alpha 90.00
_cell_angle_beta 90.00
_cell_angle_gamma 90.00
loop_
_atom_site_label
_atom_site_fract_x
_atom_site_fract_y
_atom_site_fract_z
Pm1 0.000 0.000 0.000
Y1 0.000 0.000 0.500
Y2 0.000 0.250 0.250
# - M_tot: 0.00 μB per formula unit

***

(ii)
# PmY7 GGA-PBE optimized geometry
data_PmY7
_space_group_name_H-M_alt 'I m m m'
_space_group_IT_number 71
_space_group_name_Hall '-I 2 2'
_cell_length_a 3.545
_cell_length_b 11.233
_cell_length_c 13.153
_cell_angle_alpha 90.00
_cell_angle_beta 90.00
_cell_angle_gamma 90.00
loop_
_atom_site_label
_atom_site_fract_x
_atom_site_fract_y
_atom_site_fract_z
Pm1 0.000 0.000 0.000
Y1 0.000 0.231 0.367
Y2 0.000 0.500 0.000
Y3 0.000 0.500 0.258
# - M_tot: 0.00 μB per formula unit

***

We find (i) to be the most stable, with the next structure 9 meV per atom higher.

***

(i)
# Pm5Y7 GGA-PBE optimized geometry
data_Pm5Y7
_space_group_name_H-M_alt 'C 1 2/m 1'
_space_group_IT_number 12
_cell_length_a 9.756
_cell_length_b 5.757
_cell_length_c 14.827
_cell_angle_alpha 90.00
_cell_angle_beta 103.44
_cell_angle_gamma 90.00
loop_
_space_group_symop_operation_xyz
'x,y,z'
'-x,-y,-z'
'-x,y,-z'
'x,-y,z'
'x+1/2,y+1/2,z'
'-x+1/2,-y+1/2,-z'
'-x+1/2,y+1/2,-z'
'x+1/2,-y+1/2,z'
loop_
_atom_site_label
_atom_site_fract_x
_atom_site_fract_y
_atom_site_fract_z
Pm1 0.000 0.000 0.000
Pm2 0.113 0.500 0.800
Pm3 0.140 0.000 0.436
Y1 0.000 0.500 0.500
Y2 0.056 0.000 0.214
Y3 0.187 0.500 0.081
Y4 0.234 0.000 0.672
# - M_tot: 0.00 μB per formula unit

***

(ii)
# Pm5Y7 GGA-PBE optimized geometry
data_Pm5Y7
_space_group_name_H-M_alt 'C 1 2/m 1'
_space_group_IT_number 12
_cell_length_a 18.774
_cell_length_b 3.622
_cell_length_c 13.247
_cell_angle_alpha 90.00
_cell_angle_beta 118.21
_cell_angle_gamma 90.00
loop_
_space_group_symop_operation_xyz
'x,y,z'
'-x,-y,-z'
'-x,y,-z'
'x,-y,z'
'x+1/2,y+1/2,z'
'-x+1/2,-y+1/2,-z'
'-x+1/2,y+1/2,-z'
'x+1/2,-y+1/2,z'
loop_
_atom_site_label
_atom_site_fract_x
_atom_site_fract_y
_atom_site_fract_z
Pm1 0.000 0.000 0.000
Pm2 0.166 0.000 0.499
Pm3 0.194 0.500 0.750
Y1 0.000 0.500 0.500
Y2 0.028 0.000 0.750
Y3 0.138 0.500 0.249
Y4 0.166 0.500 0.999
# - M_tot: 0.00 μB per formula unit

***

We find (ii) to be the most stable, with the next structure 178 meV per atom higher.

***

(i)
# PmY5 GGA-PBE optimized geometry
data_PmY5
_space_group_name_H-M_alt 'C m m m'
_space_group_IT_number 65
_space_group_name_Hall '-C 2 2'
_cell_length_a 5.794
_cell_length_b 18.037
_cell_length_c 3.792
_cell_angle_alpha 90.00
_cell_angle_beta 90.00
_cell_angle_gamma 90.00
loop_
_atom_site_label
_atom_site_fract_x
_atom_site_fract_y
_atom_site_fract_z
Pm1 0.000 0.000 0.000
Y1 0.000 0.181 0.500
Y2 0.000 0.345 0.000
Y3 0.000 0.500 0.500
# - M_tot: 0.00 μB per formula unit

***

(ii)
# PmY5 GGA-PBE optimized geometry
data_PmY5
_space_group_name_H-M_alt 'P 4/m m m'
_space_group_IT_number 123
_space_group_name_Hall '-P 4 2'
_cell_length_a 3.585
_cell_length_b 3.585
_cell_length_c 15.207
_cell_angle_alpha 90.00
_cell_angle_beta 90.00
_cell_angle_gamma 90.00
loop_
_atom_site_label
_atom_site_fract_x
_atom_site_fract_y
_atom_site_fract_z
Pm1 0.000 0.000 0.000
Y1 0.000 0.000 0.334
Y2 0.500 0.500 0.168
Y3 0.500 0.500 0.500
# - M_tot: 0.00 μB per formula unit

***

We find (ii) to be the most stable, with the next structure 82 meV per atom higher.

***

(i)
# Pm13Y2 GGA-PBE optimized geometry
data_Pm13Y2
_space_group_name_H-M_alt 'R -3 m'
_space_group_IT_number 166
_space_group_name_Hall '-R 3 2"'
_cell_length_a 7.1837
_cell_length_b 7.1837
_cell_length_c 35.2731
_cell_angle_alpha 90.00
_cell_angle_beta 90.00
_cell_angle_gamma 120.00
loop_
_atom_site_label
_atom_site_fract_x
_atom_site_fract_y
_atom_site_fract_z
Pm1 0.0000 0.0000 0.0000
Pm2 0.0016 0.5008 0.7903
Pm3 0.0025 0.5013 0.9550
Y1 0.0000 0.0000 0.2060
# - M_tot: 0.00 μB per formula unit

***

(ii)
# Pm13Y2 GGA-PBE optimized geometry
data_Pm13Y2
_space_group_name_H-M_alt 'P -1'
_space_group_IT_number 2
_cell_length_a 6.760
_cell_length_b 9.128
_cell_length_c 9.130
_cell_angle_alpha 66.39
_cell_angle_beta 82.23
_cell_angle_gamma 82.27
loop_
_space_group_symop_operation_xyz
'x,y,z'
'-x,-y,-z'
loop_
_atom_site_label
_atom_site_fract_x
_atom_site_fract_y
_atom_site_fract_z
Pm1 0.000 0.000 0.000
Pm2 0.102 0.767 0.435
Pm3 0.195 0.206 0.196
Pm4 0.299 0.973 0.629
Pm5 0.307 0.639 0.961
Pm6 0.397 0.404 0.398
Pm7 0.496 0.835 0.168
Y1 0.098 0.431 0.769
# - M_tot: 0.00 μB per formula unit

***

We find (ii) to be the most stable, with the next structure 89 meV per atom higher.

***

(i)
# Pm3Y5 GGA-PBE optimized geometry
data_Pm3Y5
_space_group_name_H-M_alt 'C m m m'
_space_group_IT_number 65
_space_group_name_Hall '-C 2 2'
_cell_length_a 4.988
_cell_length_b 5.124
_cell_length_c 20.595
_cell_angle_alpha 90.00
_cell_angle_beta 90.00
_cell_angle_gamma 90.00
loop_
_atom_site_label
_atom_site_fract_x
_atom_site_fract_y
_atom_site_fract_z
Pm1 0.000 0.000 0.000
Pm2 0.000 0.500 0.128
Y1 0.000 0.000 0.253
Y2 0.000 0.000 0.500
Y3 0.000 0.500 0.377
# - M_tot: 0.00 μB per formula unit

***

(ii)
# Pm3Y5 GGA-PBE optimized geometry
data_Pm3Y5
_space_group_name_H-M_alt 'P m m 2'
_space_group_IT_number 25
_cell_length_a 3.663
_cell_length_b 5.750
_cell_length_c 12.712
_cell_angle_alpha 90.00
_cell_angle_beta 90.00
_cell_angle_gamma 90.00
loop_
_space_group_symop_operation_xyz
'x,y,z'
'-x,-y,z'
'-x,y,z'
'x,-y,z'
loop_
_atom_site_label
_atom_site_fract_x
_atom_site_fract_y
_atom_site_fract_z
Pm1 0.000 0.000 0.000
Pm2 0.000 0.500 0.171
Pm3 0.500 0.000 0.251
Y1 0.000 0.000 0.504
Y2 0.000 0.500 0.667
Y3 0.500 0.000 0.751
Y4 0.500 0.500 0.420
Y5 0.500 0.500 0.915
# - M_tot: 0.00 μB per formula unit

***

We find (ii) to be the most stable, with the next structure 9 meV per atom higher.